Version a
Compound: RbZnTe2N
Source: the Alexandria database
Functional: GGA-PBE
Structure: optimized geometry

Geometry as POSCAR:
```
RbZnTe2N
1.0
7.053 0.000 0.000
0.000 7.053 0.000
0.000 0.000 5.630
Te Rb Zn N
2 1 1 1
Cartesian
3.526 0.000 0.000
0.000 3.526 0.000
0.000 0.000 0.000
3.526 3.526 2.815
0.000 0.000 2.815
```

Summary:
- total magnetization (μB per cell) = 6.01
- volume (Å³ per atom) = 56.01

Version b
Compound: RbZnTe2N
Source: the Alexandria database
Functional: GGA-PBE
Structure: optimized geometry

Geometry as POSCAR:
```
RbZnTe2N
1.0
6.399 0.000 0.000
0.000 6.399 0.000
0.000 0.000 3.587
N Zn Te Rb
1 1 2 1
Cartesian
0.000 0.000 1.794
0.000 0.000 0.000
0.000 3.199 0.000
3.199 0.000 0.000
3.199 3.199 1.794
```

Summary:
- total magnetization (μB per cell) = 1.88
- volume (Å³ per atom) = 29.38

Q: Which of them is the most stable? A: version b.

Version a
Compound: RbZrTe2N
Source: the Alexandria database
Functional: GGA-PBE
Structure: optimized geometry

Geometry as POSCAR:
```
RbZrTe2N
1.0
-1.159 -1.274 -5.919
-3.309 -4.914 1.706
-3.284 2.265 0.155
Rb Te N Zr
1 2 1 1
Cartesian
-3.876 -1.961 -2.029
-0.579 -0.637 -2.960
-1.654 -2.457 0.853
-1.642 1.133 0.078
0.000 0.000 0.000
```

Summary:
- total magnetization (μB per cell) = 0.00
- volume (Å³ per atom) = 30.35

Version b
Compound: RbZrTe2N
Source: the Alexandria database
Functional: GGA-PBE
Structure: optimized geometry

Geometry as POSCAR:
```
RbZrTe2N
1.0
-3.608 -3.907 -2.784
1.499 -4.227 3.989
-3.293 1.230 2.541
Te Zr N Rb
2 1 1 1
Cartesian
-1.804 -1.953 -1.392
0.750 -2.114 1.995
-2.701 -3.452 1.873
-1.646 0.615 1.270
0.000 0.000 0.000
```

Summary:
- total magnetization (μB per cell) = 0.79
- volume (Å³ per atom) = 31.26

Q: Which of them is the most stable? A: version a.

Version a
Compound: Rb2Ti2N
Source: the Alexandria database
Functional: GGA-PBE
Structure: optimized geometry

Geometry as POSCAR:
```
Rb2Ti2N
1.0
-2.436 -0.914 5.186
-4.695 -2.209 -2.595
2.806 -6.224 0.221
N Ti Rb
2 4 4
Cartesian
0.000 0.000 0.000
-3.566 -1.562 1.295
-4.638 -2.108 -0.466
-1.944 -0.873 0.093
-5.188 -2.250 2.497
-2.493 -1.015 3.056
-3.929 -5.444 2.112
-0.397 -3.902 0.700
-2.781 -5.020 -0.520
-1.545 -4.326 3.332
```

Summary:
- total magnetization (μB per cell) = 0.00
- volume (Å³ per atom) = 22.99

Version b
Compound: Rb2Ti2N
Source: the Alexandria database
Functional: GGA-PBE
Structure: optimized geometry

Geometry as POSCAR:
```
Rb2Ti2N
1.0
-1.928 -3.147 1.466
3.418 -1.426 1.434
-0.514 1.759 8.474
Ti N Rb
2 1 2
Cartesian
0.379 -1.002 9.100
0.597 -1.811 2.275
0.000 0.000 0.000
-0.849 -1.837 5.695
1.824 -0.977 5.679
```

Summary:
- total magnetization (μB per cell) = 0.00
- volume (Å³ per atom) = 25.87

Q: Which of them is the most stable? A: version a.

Version a
Compound: Rb2TlN
Source: the Alexandria database
Functional: GGA-PBE
Structure: optimized geometry

Geometry as POSCAR:
```
Rb2TlN
1.0
12.229 0.000 0.000
0.000 12.229 0.000
6.114 6.114 2.366
N Rb Tl
2 4 2
Cartesian
6.114 6.114 0.000
6.114 12.229 1.183
5.527 9.171 0.591
6.702 3.057 0.591
15.286 12.816 1.774
9.171 11.641 1.774
0.000 0.000 0.000
12.229 6.114 1.183
```

Summary:
- total magnetization (μB per cell) = 0.15
- volume (Å³ per atom) = 44.22

Version b
Compound: Rb2TlN
Source: the Alexandria database
Functional: GGA-PBE
Structure: optimized geometry

Geometry as POSCAR:
```
Rb2TlN
1.0
-4.334 -0.503 3.630
-1.708 4.492 3.020
-4.974 2.474 -1.159
Rb Tl N
2 1 1
Cartesian
-8.262 4.847 4.118
-2.754 1.616 1.373
-5.508 3.232 2.745
0.000 0.000 0.000
```

Summary:
- total magnetization (μB per cell) = 0.00
- volume (Å³ per atom) = 32.32

Q: Which of them is the most stable? A: version a.

Version a
Compound: RbTl3N
Source: the Alexandria database
Functional: GGA-PBE
Structure: optimized geometry

Geometry as POSCAR:
```
RbTl3N
1.0
6.458 0.000 0.000
0.000 6.458 0.000
0.000 0.000 6.458
Tl N Rb
3 1 1
Cartesian
0.000 3.229 0.000
3.229 0.000 0.000
0.000 0.000 3.229
3.229 3.229 3.229
0.000 0.000 0.000
```

Summary:
- total magnetization (μB per cell) = 0.00
- volume (Å³ per atom) = 53.88

Version b
Compound: RbTl3N
Source: the Alexandria database
Functional: GGA-PBE
Structure: optimized geometry

Geometry as POSCAR:
```
RbTl3N
1.0
-1.864 -4.496 -2.261
4.530 -2.549 1.335
-2.192 -1.445 4.681
Tl Rb N
3 1 1
Cartesian
-1.096 -0.722 2.340
2.265 -1.275 0.667
-0.932 -2.248 -1.130
0.237 -4.245 1.877
0.000 0.000 0.000
```

Summary:
- total magnetization (μB per cell) = 0.02
- volume (Å³ per atom) = 30.92

Q: Which of them is the most stable? A: version b.

Version a
Compound: RbTlN2
Source: the Alexandria database
Functional: GGA-PBE
Structure: optimized geometry

Geometry as POSCAR:
```
RbTlN2
1.0
2.125 0.000 7.469
-1.063 1.840 7.469
-1.063 -1.840 7.469
Rb N Tl
1 2 1
Cartesian
0.000 0.000 0.000
0.000 0.000 2.656
0.000 0.000 19.750
0.000 0.000 11.203
```

Summary:
- total magnetization (μB per cell) = 2.01
- volume (Å³ per atom) = 21.91

Version b
Compound: RbTlN2
Source: the Alexandria database
Functional: GGA-PBE
Structure: optimized geometry

Geometry as POSCAR:
```
RbTlN2
1.0
2.609 0.000 7.184
-1.305 2.260 7.184
-1.305 -2.260 7.184
Rb Tl N
1 1 2
Cartesian
0.000 0.000 10.776
0.000 0.000 0.000
0.000 0.000 1.971
0.000 0.000 19.582
```

Summary:
- total magnetization (μB per cell) = 2.00
- volume (Å³ per atom) = 31.77

Q: Which of them is the most stable? A: version b.

Version a
Compound: RbVN
Source: the Alexandria database
Functional: GGA-PBE
Structure: optimized geometry

Geometry as POSCAR:
```
RbVN
1.0
-2.273 -0.694 3.007
-5.698 -5.448 -5.565
2.834 -1.975 1.687
V Rb N
2 2 2
Cartesian
-6.531 -6.039 -2.666
1.393 -2.078 1.795
-3.156 -4.550 -2.215
-1.981 -3.566 1.344
-5.999 -4.659 -1.945
0.862 -3.458 1.075
```

Summary:
- total magnetization (μB per cell) = 1.80
- volume (Å³ per atom) = 21.74

Version b
Compound: RbVN
Source: the Alexandria database
Functional: GGA-PBE
Structure: optimized geometry

Geometry as POSCAR:
```
RbVN
1.0
3.778 0.000 0.000
0.000 3.778 0.000
0.000 0.000 10.949
Rb V N
2 2 2
Cartesian
0.000 1.889 8.759
1.889 0.000 2.190
1.889 1.889 5.474
0.000 0.000 5.474
0.000 1.889 4.919
1.889 0.000 6.030
```

Summary:
- total magnetization (μB per cell) = 0.23
- volume (Å³ per atom) = 26.04

Q: Which of them is the most stable? A: version b.

Version a
Compound: Rb2YN2
Source: the Alexandria database
Functional: GGA-PBE
Structure: optimized geometry

Geometry as POSCAR:
```
Rb2YN2
1.0
-5.374 2.317 -5.480
-4.458 -6.460 1.640
-1.626 1.711 2.318
N Y Rb
4 2 4
Cartesian
-4.825 -3.125 1.283
-3.334 0.423 -0.290
-6.634 0.694 -2.805
-8.124 -2.854 -1.232
-4.916 -2.071 -1.920
0.000 0.000 0.000
-2.345 -2.123 -0.078
-5.905 -4.779 -0.616
-7.488 -2.019 -3.762
-3.927 0.636 -3.225
```

Summary:
- total magnetization (μB per cell) = 3.10
- volume (Å³ per atom) = 21.27

Version b
Compound: Rb2YN2
Source: the Alexandria database
Functional: GGA-PBE
Structure: optimized geometry

Geometry as POSCAR:
```
Rb2YN2
1.0
5.112 0.000 0.000
0.000 5.112 0.000
2.556 2.556 4.516
Rb N Y
2 2 1
Cartesian
2.556 2.556 1.412
5.112 5.112 3.104
5.112 2.556 2.258
2.556 5.112 2.258
0.000 0.000 0.000
```

Summary:
- total magnetization (μB per cell) = 1.00
- volume (Å³ per atom) = 23.60

Q: Which of them is the most stable? A: version a.

Version a
Compound: RbYN2
Source: the Alexandria database
Functional: GGA-PBE
Structure: optimized geometry

Geometry as POSCAR:
```
RbYN2
1.0
-2.604 -3.089 -1.989
-3.315 -1.979 2.317
-4.296 0.954 -0.956
Rb N Y
1 2 1
Cartesian
0.000 0.000 0.000
-2.554 -1.029 -0.157
-7.661 -3.086 -0.470
-5.107 -2.057 -0.314
```

Summary:
- total magnetization (μB per cell) = 2.00
- volume (Å³ per atom) = 16.14

Version b
Compound: RbYN2
Source: the Alexandria database
Functional: GGA-PBE
Structure: optimized geometry

Geometry as POSCAR:
```
RbYN2
1.0
2.564 0.000 7.262
-1.282 2.221 7.262
-1.282 -2.221 7.262
N Rb Y
2 1 1
Cartesian
0.000 0.000 1.922
0.000 0.000 19.864
0.000 0.000 10.893
0.000 0.000 0.000
```

Summary:
- total magnetization (μB per cell) = 0.00
- volume (Å³ per atom) = 31.02

Version c
Compound: RbYN2
Source: the Alexandria database
Functional: GGA-PBE
Structure: optimized geometry

Geometry as POSCAR:
```
RbYN2
1.0
-5.859 -3.380 3.941
-2.911 -4.061 6.026
-4.622 -0.817 6.266
N Y Rb
2 1 1
Cartesian
-11.813 -7.285 14.318
-1.579 -0.974 1.914
-6.696 -4.129 8.116
0.000 0.000 0.000
```

Summary:
- total magnetization (μB per cell) = 2.00
- volume (Å³ per atom) = 22.03

Version d
Compound: RbYN2
Source: the Alexandria database
Functional: GGA-PBE
Structure: optimized geometry

Geometry as POSCAR:
```
RbYN2
1.0
-3.484 4.416 3.424
0.223 -3.923 5.285
2.268 2.280 5.700
N Rb Y
4 2 2
Cartesian
0.623 -1.776 4.810
-1.131 1.744 12.430
-1.936 3.286 4.572
0.455 2.291 7.006
0.430 -0.698 7.669
-1.631 0.246 4.355
0.000 0.000 0.000
-1.424 3.471 6.739
```

Summary:
- total magnetization (μB per cell) = 4.00
- volume (Å³ per atom) = 24.92

Q: Which of them is the most stable? A: version d.

Version a
Compound: RbZn2N2
Source: the Alexandria database
Functional: GGA-PBE
Structure: optimized geometry

Geometry as POSCAR:
```
RbZn2N2
1.0
-2.152 5.812 3.713
-6.897 -1.819 -1.151
0.004 -1.494 2.340
N Rb Zn
4 2 4
Cartesian
-1.753 1.068 2.331
-4.305 3.585 3.941
-4.740 -1.085 0.961
-7.293 1.431 2.571
-4.524 1.997 1.281
0.000 0.000 0.000
-2.116 3.365 2.151
-6.146 4.025 2.579
-6.932 0.628 0.411
-2.903 -0.032 -0.016
```

Summary:
- total magnetization (μB per cell) = 0.00
- volume (Å³ per atom) = 14.49

Version b
Compound: RbZn2N2
Source: the Alexandria database
Functional: GGA-PBE
Structure: optimized geometry

Geometry as POSCAR:
```
RbZn2N2
1.0
4.066 0.000 0.000
0.000 4.066 0.000
2.033 2.033 5.662
Zn N Rb
2 2 1
Cartesian
2.033 2.033 2.537
4.066 4.066 3.125
2.033 4.066 2.831
4.066 2.033 2.831
0.000 0.000 0.000
```

Summary:
- total magnetization (μB per cell) = 0.00
- volume (Å³ per atom) = 18.72

Q: Which of them is the most stable? A: version b.

Version a
Compound: Rb2ZnN
Source: the Alexandria database
Functional: GGA-PBE
Structure: optimized geometry

Geometry as POSCAR:
```
Rb2ZnN
1.0
-8.886 8.227 3.654
-6.933 -2.980 -10.152
-8.747 1.292 -2.286
N Zn Rb
2 2 4
Cartesian
-7.910 2.624 -3.249
-11.795 0.467 -7.843
-12.772 6.071 -0.941
0.000 0.000 0.000
-18.924 6.195 -5.236
-9.526 1.243 -5.681
-13.971 2.301 -6.316
-6.713 3.338 -0.336
```

Summary:
- total magnetization (μB per cell) = 0.00
- volume (Å³ per atom) = 36.89

Version b
Compound: Rb2ZnN
Source: the Alexandria database
Functional: GGA-PBE
Structure: optimized geometry

Geometry as POSCAR:
```
Rb2ZnN
1.0
3.717 -3.899 1.227
0.670 -1.627 5.237
-1.682 -5.023 1.568
Rb Zn N
2 1 1
Cartesian
2.029 -7.912 6.025
0.676 -2.637 2.008
1.353 -5.275 4.016
0.000 0.000 0.000
```

Summary:
- total magnetization (μB per cell) = 1.00
- volume (Å³ per atom) = 29.81

Q: Which of them is the most stable? A: version a.

Version a
Compound: ReRhN2
Source: the Alexandria database
Functional: GGA-PBE
Structure: optimized geometry

Geometry as POSCAR:
```
ReRhN2
1.0
3.085 -1.545 1.653
-0.321 -1.759 3.382
0.350 -3.803 0.219
Re Rh N
1 1 2
Cartesian
1.557 -3.553 2.627
0.000 0.000 0.000
0.779 -1.777 1.314
2.336 -5.330 3.941
```

Summary:
- total magnetization (μB per cell) = 0.00
- volume (Å³ per atom) = 9.90

Version b
Compound: ReRhN2
Source: the Alexandria database
Functional: GGA-PBE
Structure: optimized geometry

Geometry as POSCAR:
```
ReRhN2
1.0
1.629 0.000 6.554
-0.814 1.410 6.554
-0.814 -1.410 6.554
N Re Rh
2 1 1
Cartesian
0.000 0.000 1.980
0.000 0.000 17.682
0.000 0.000 9.831
0.000 0.000 0.000
```

Summary:
- total magnetization (μB per cell) = 0.04
- volume (Å³ per atom) = 11.29

Q: Which of them is the most stable? A: version b.

Version a
Compound: ReRhSN2
Source: the Alexandria database
Functional: GGA-PBE
Structure: optimized geometry

Geometry as POSCAR:
```
ReRhSN2
1.0
-0.520 3.727 -0.281
0.163 -0.261 -3.761
-5.081 -0.722 -0.169
Rh S N Re
1 1 2 1
Cartesian
-2.719 1.372 -2.106
-2.540 -0.361 -0.085
-0.260 1.864 -0.140
0.081 -0.130 -1.881
0.000 0.000 0.000
```

Summary:
- total magnetization (μB per cell) = 0.87
- volume (Å³ per atom) = 14.62

Version b
Compound: ReRhSN2
Source: the Alexandria database
Functional: GGA-PBE
Structure: optimized geometry

Geometry as POSCAR:
```
ReRhSN2
1.0
-3.537 0.048 -1.242
1.052 -1.878 -3.069
-0.935 -4.591 2.489
Re Rh N S
1 1 2 1
Cartesian
-1.710 -3.211 -0.911
0.000 0.000 0.000
0.526 -0.939 -1.535
-1.769 0.024 -0.621
-0.468 -2.296 1.244
```

Summary:
- total magnetization (μB per cell) = 3.72
- volume (Å³ per atom) = 14.91

Q: Which of them is the most stable? A: version a.